Record 1
A relaxed structure of HfZr3C, computed with GGA-PBE.

Lattice parameters (Å, degrees): 4.624 4.624 4.624 90.00 90.00 90.00
Sites, in units of the cell vectors:
1 C 0.000 0.000 0.000
2 Hf 0.500 0.500 0.500
3 Zr 0.000 0.500 0.000
4 Zr 0.000 0.000 0.500
5 Zr 0.500 0.000 0.000

Polymorph energy (0 for the lowest one) (kcal/mol of atoms): 0.000
Space group: Pm-3m
V (Å³/cell): 98.86
E_form (eV per atom): -0.224

Record 2
A relaxed structure of HfZr3C2, computed with GGA-PBE.

Lattice parameters (Å, degrees): 5.423 6.642 6.642 120.00 90.00 90.00
Sites, in units of the cell vectors:
1 Hf 0.227 0.333 0.667
2 Hf 0.773 0.667 0.333
3 Zr 0.763 0.166 0.834
4 Zr 0.763 0.667 0.834
5 Zr 0.763 0.166 0.333
6 Zr 0.237 0.834 0.667
7 Zr 0.237 0.834 0.166
8 Zr 0.237 0.333 0.166
9 C 0.000 0.000 0.000
10 C 0.000 0.500 0.000
11 C 0.000 0.000 0.500
12 C 0.000 0.500 0.500

Space group: P-3m1
V (Å³/cell): 207.22
E_form (eV per atom): -0.586

Record 3
A relaxed structure of HfZr3C, computed with GGA-PBE.

Lattice parameters (Å, degrees): 5.117 5.117 5.117 90.00 90.00 90.00
Sites, in units of the cell vectors:
1 C 0.500 0.500 0.500
2 Hf 0.000 0.000 0.000
3 Zr 0.000 0.500 0.000
4 Zr 0.000 0.000 0.500
5 Zr 0.500 0.000 0.000

Polymorph energy (0 for the lowest one) (kcal/mol of atoms): 59.809
Space group: Pm-3m
V (Å³/cell): 133.97
E_form (eV per atom): 2.370

Record 4
A relaxed structure of Hg2C3, computed with GGA-PBE.

Lattice parameters (Å, degrees): 8.248 7.499 5.973 74.54 61.19 44.26
Sites, in units of the cell vectors:
1 Hg 0.031 0.031 0.469
2 Hg 0.469 0.469 0.031
3 Hg 0.781 0.781 0.219
4 Hg 0.219 0.219 0.781
5 C 0.885 0.615 0.885
6 C 0.615 0.885 0.615
7 C 0.365 0.635 0.365
8 C 0.635 0.365 0.635
9 C 0.750 0.750 0.750
10 C 0.500 0.500 0.500

Polymorph energy (0 for the lowest one) (kcal/mol of atoms): 0.000
Space group: Fddd
V (Å³/cell): 224.07
E_form (eV per atom): 1.035

Record 5
A relaxed structure of Hg3C, computed with GGA-PBE.

Lattice parameters (Å, degrees): 5.491 5.491 5.491 90.00 90.00 90.00
Site moments in Bohr magnetons follow the coordinates.
Sites, in units of the cell vectors:
1 Hg 0.750 0.500 0.000  0.00
2 Hg 0.250 0.500 0.000  0.00
3 Hg 0.000 0.750 0.500  0.00
4 Hg 0.000 0.250 0.500  0.00
5 Hg 0.500 0.000 0.250  0.00
6 Hg 0.500 0.000 0.750  0.00
7 C 0.000 0.000 0.000  0.06
8 C 0.500 0.500 0.500  0.06

Polymorph energy (0 for the lowest one) (kcal/mol of atoms): 26.148
Space group: Pm-3n
V (Å³/cell): 165.55
E_form (eV per atom): 1.536

Record 6
A relaxed structure of HgC, computed with GGA-PBE.

Lattice parameters (Å, degrees): 4.533 4.533 4.533 88.62 88.62 88.62
Sites, in units of the cell vectors:
1 C 0.923 0.923 0.923
2 C 0.077 0.077 0.077
3 Hg 0.663 0.663 0.663
4 Hg 0.337 0.337 0.337

Polymorph energy (0 for the lowest one) (kcal/mol of atoms): 9.730
Space group: R-3m
V (Å³/cell): 93.05
E_form (eV per atom): 0.960

Record 7
A relaxed structure of HgC, computed with GGA-PBE.

Lattice parameters (Å, degrees): 3.916 3.916 5.178 90.00 90.00 120.00
Sites, in units of the cell vectors:
1 Hg 0.333 0.667 0.750
2 Hg 0.667 0.333 0.250
3 C 0.333 0.667 0.250
4 C 0.667 0.333 0.750

Polymorph energy (0 for the lowest one) (kcal/mol of atoms): 39.465
Space group: P6_3/mmc
V (Å³/cell): 68.79
E_form (eV per atom): 2.249

Record 8
A relaxed structure of HgC, computed with GGA-PBE.

Lattice parameters (Å, degrees): 3.198 3.198 6.232 90.00 90.00 90.00
Sites, in units of the cell vectors:
1 C 0.000 0.000 0.133
2 C 0.500 0.500 0.633
3 Hg 0.000 0.000 0.509
4 Hg 0.500 0.500 0.009

Polymorph energy (0 for the lowest one) (kcal/mol of atoms): 41.229
Space group: I4mm
V (Å³/cell): 63.72
E_form (eV per atom): 2.326

Please write out number 1 again, unchanged.
A relaxed structure of HfZr3C, computed with GGA-PBE.

Lattice parameters (Å, degrees): 4.624 4.624 4.624 90.00 90.00 90.00
Sites, in units of the cell vectors:
1 C 0.000 0.000 0.000
2 Hf 0.500 0.500 0.500
3 Zr 0.000 0.500 0.000
4 Zr 0.000 0.000 0.500
5 Zr 0.500 0.000 0.000

Polymorph energy (0 for the lowest one) (kcal/mol of atoms): 0.000
Space group: Pm-3m
V (Å³/cell): 98.86
E_form (eV per atom): -0.224